{"formula": "YTc3S", "functional": "PBE", "state": "relaxed", "crystal_system": "cubic", "formation_energy_uncorrected_mev_per_atom": 2587, "e_tot_ev_per_atom": -5.75, "lattice": [[5.0598, 0.0000, 0.0000], [0.0000, 5.0598, 0.0000], [0.0000, 0.0000, 5.0598]], "species": ["Y", "Tc", "Tc", "Tc", "S"], "fractional_positions": [[0.0000, 0.0000, 0.0000], [0.0000, 0.0000, 0.5000], [0.0000, 0.5000, 0.0000], [0.5000, 0.0000, 0.0000], [0.5000, 0.5000, 0.5000]]}